No. 1
Computed, not measured: crystalline LaYAl4 at its relaxed geometry at the PBEsol level of DFT.

```
6
Lattice="0.0000 3.9717 3.9717 3.9717 0.0000 3.9717 3.9717 3.9717 0.0000" Properties=species:S:1:pos:R:3 pbc="T T T"
La 0.0000 0.0000 0.0000
Y 1.9859 1.9859 1.9859
Al 4.9647 2.9788 2.9788
Al 2.9788 4.9647 2.9788
Al 2.9788 2.9788 4.9647
Al 4.9647 4.9647 4.9647
```

* crystal system: cubic
* raw total energy: -5.257 eV/atom
* formation energy from the elements: -500.8 meV/atom
* volume: 125.3 Å³/cell
* N(E_F): 0.80 states/eV/atom
* mass density: 4.45 Mg/m³

No. 2
Computed, not measured: crystalline B2PdS at its relaxed geometry at the PBEsol level of DFT.

```
8
Lattice="-2.4386 2.4386 3.9752 2.4386 -2.4386 3.9752 2.4386 2.4386 -3.9752" Properties=species:S:1:pos:R:3 pbc="T T T"
B 3.6578 1.0533 -0.9938
B 1.0533 1.2193 0.9938
B -1.2193 1.3852 2.9814
B 1.3852 1.2193 4.9691
Pd 2.4386 0.0000 1.9876
Pd 0.0000 0.0000 3.9752
S 0.0000 0.0000 0.0000
S 0.0000 2.4386 1.9876
```

* crystal system: tetragonal
* raw total energy: -5.864 eV/atom
* formation energy without anion corrections: 0.230 eV/atom
* volume: 94.6 Å³/cell
* N(E_F): 0.11 states/eV/atom
* mass density: 5.62 Mg/m³

No. 3
Computed, not measured: crystalline KGe2Au2 at its relaxed geometry at the PBEsol level of DFT.

```
5
Lattice="-2.3271 2.3271 5.1468 2.3271 -2.3271 5.1468 2.3271 2.3271 -5.1468" Properties=species:S:1:pos:R:3 pbc="T T T"
K 0.0000 0.0000 0.0000
Ge 2.3271 0.0000 2.5734
Ge 0.0000 2.3271 2.5734
Au 0.0000 0.0000 3.7259
Au 0.0000 0.0000 6.5676
```

* crystal system: tetragonal
* raw total energy: -3.912 eV/atom
* formation energy from the elements: -140.4 meV/atom
* volume: 111.5 Å³/cell
* N(E_F): 0.39 states/eV/atom
* mass density: 8.61 Mg/m³

No. 4
Computed, not measured: crystalline NiMo2Rh at its relaxed geometry at the PBEsol level of DFT.

```
4
Lattice="3.2180 0.0000 0.0000 0.0000 3.2180 0.0000 0.0000 0.0000 5.3421" Properties=species:S:1:pos:R:3 pbc="T T T"
Ni 0.0000 0.0000 0.0000
Mo 1.6090 1.6090 1.1991
Mo 1.6090 1.6090 4.1430
Rh 0.0000 0.0000 2.6710
```

* crystal system: tetragonal
* raw total energy: -9.328 eV/atom
* formation energy from the elements: 129.5 meV/atom
* volume: 55.3 Å³/cell
* N(E_F): 0.95 states/eV/atom
* mass density: 10.61 Mg/m³

No. 5
Computed, not measured: crystalline TaRu2N2 at its relaxed geometry at the PBEsol level of DFT.

```
5
Lattice="-1.8485 1.8485 4.1699 1.8485 -1.8485 4.1699 1.8485 1.8485 -4.1699" Properties=species:S:1:pos:R:3 pbc="T T T"
Ta 0.0000 0.0000 0.0000
Ru 0.0000 0.0000 2.8813
Ru 0.0000 0.0000 5.4585
N 1.8485 0.0000 2.0850
N 0.0000 1.8485 2.0850
```

* crystal system: tetragonal
* raw total energy: -9.603 eV/atom
* formation energy without anion corrections: 0.387 eV/atom
* volume: 57.0 Å³/cell
* N(E_F): 0.34 states/eV/atom
* mass density: 11.98 Mg/m³

No. 6
Computed, not measured: crystalline LiTa2Te at its relaxed geometry at the PBEsol level of DFT.

```
4
Lattice="3.5655 0.0000 0.0000 0.0000 4.2894 0.0000 0.0000 0.0000 4.5724" Properties=species:S:1:pos:R:3 pbc="T T T"
Li 0.0000 0.0000 0.0000
Ta 0.0000 2.1447 2.2862
Ta 1.7827 0.0000 2.2862
Te 1.7827 2.1447 0.0000
```

* crystal system: orthorhombic
* raw total energy: -7.473 eV/atom
* formation energy without anion corrections: 0.176 eV/atom
* volume: 69.9 Å³/cell
* N(E_F): 0.67 states/eV/atom
* mass density: 11.79 Mg/m³

No. 7
Computed, not measured: crystalline TlPNCl2 at its relaxed geometry at the PBEsol level of DFT.

```
5
Lattice="5.9719 0.0000 0.0000 0.0000 5.9719 0.0000 0.0000 0.0000 3.2226" Properties=species:S:1:pos:R:3 pbc="T T T"
Tl 0.0000 0.0000 0.0000
P 2.9860 2.9860 0.0000
N 2.9860 2.9860 1.6113
Cl 0.0000 2.9860 1.6113
Cl 2.9860 0.0000 1.6113
```

* crystal system: tetragonal
* raw total energy: -3.904 eV/atom
* formation energy without anion corrections: 0.289 eV/atom
* volume: 114.9 Å³/cell
* N(E_F): 0.73 states/eV/atom
* mass density: 4.63 Mg/m³

No. 8
Computed, not measured: crystalline YCoMo2 at its relaxed geometry at the PBEsol level of DFT.

```
4
Lattice="3.1617 0.0000 0.0000 0.0000 3.1617 0.0000 0.0000 0.0000 6.5745" Properties=species:S:1:pos:R:3 pbc="T T T"
Y 0.0000 0.0000 0.0000
Co 1.5808 1.5808 1.7942
Mo 0.0000 0.0000 3.1889
Mo 1.5808 1.5808 4.5751
```

* crystal system: tetragonal
* raw total energy: -9.312 eV/atom
* formation energy from the elements: 211.5 meV/atom
* volume: 65.7 Å³/cell
* N(E_F): 0.82 states/eV/atom
* mass density: 8.58 Mg/m³

No. 9
Computed, not measured: crystalline Mg2AsSe at its relaxed geometry at the PBEsol level of DFT.

```
4
Lattice="3.3528 0.0000 0.0000 0.0000 4.1997 0.0000 0.0000 0.0000 5.8988" Properties=species:S:1:pos:R:3 pbc="T T T"
Mg 0.0000 0.0000 0.0000
Mg 0.0000 2.0998 2.9494
As 1.6764 0.0000 2.9494
Se 1.6764 2.0998 0.0000
```

* crystal system: orthorhombic
* raw total energy: -3.555 eV/atom
* formation energy without anion corrections: -0.457 eV/atom
* volume: 83.1 Å³/cell
* N(E_F): 0.42 states/eV/atom
* mass density: 4.05 Mg/m³

No. 10
Computed, not measured: crystalline NaBePO4 at its relaxed geometry at the PBEsol level of DFT.

```
84
Lattice="8.1419 0.0000 0.0000 0.0000 7.8110 0.0000 -8.1268 0.0000 14.2193" Properties=species:S:1:pos:R:3 pbc="T T T"
Na -2.0090 0.0244 3.5538
Na -6.0725 3.8811 10.6635
Na 1.8584 0.2596 0.9661
Na -2.2050 3.6459 8.0758
Na -1.8689 0.2283 8.3556
Na 2.1945 3.6772 1.2459
Na -2.1794 4.1337 12.9734
Na 1.8840 7.5827 5.8637
Na 2.2202 4.1651 6.1436
Na -1.8433 7.5514 13.2532
Na 6.0876 3.9299 3.5558
Na 2.0242 7.7866 10.6655
Be -3.2718 1.3229 5.9671
Be -7.3352 2.5826 13.0768
Be 0.6359 1.3165 3.4303
Be -3.4275 2.5890 10.5400
Be -0.5325 5.2171 5.8214
Be -4.5959 6.4993 12.9310
Be 4.6110 1.3117 1.2883
Be 0.5476 2.5938 8.3979
Be 3.4426 5.2220 3.6793
Be -0.6208 6.4944 10.7890
Be 7.3503 5.2284 1.1426
Be 3.2869 6.4880 8.2522
P -7.2516 5.5406 13.0613
P -3.1882 6.1759 5.9516
P -3.4009 5.5784 10.4788
P 0.6625 6.1381 3.3691
P -4.6250 1.6478 12.9214
P -0.5616 2.2576 5.8117
P 0.5767 5.5533 8.4076
P 4.6401 6.1631 1.2980
P -0.6474 1.6729 10.8502
P 3.4161 2.2326 3.7406
P 3.2033 1.6351 8.2677
P 7.2667 2.2704 1.1581
O -3.6693 1.9363 7.4333
O 0.3941 1.9691 0.3236
O -6.7683 4.0965 13.2997
O -2.7049 7.6199 6.1900
O -4.6246 1.8125 9.7697
O -0.5611 2.0930 2.6601
O -6.0999 1.7279 12.4570
O -2.0365 2.1776 5.3473
O -2.0603 5.2105 6.3748
O -6.1237 6.5060 13.4845
O 0.4722 5.1905 2.1661
O -3.5912 6.5260 9.2757
O -4.5458 5.7345 11.5043
O -0.4824 5.9819 4.3946
O -3.4359 4.1226 9.9585
O 0.6275 7.5938 2.8488
O -4.1026 0.2209 12.6619
O -0.0391 3.6846 5.5522
O 0.3144 1.2657 5.0164
O -3.7491 2.6398 12.1261
O -0.4947 1.9219 7.3249
O 3.5687 1.9835 0.2152
O -1.9911 1.9472 10.1409
O 2.0723 1.9583 3.0313
O -2.0572 5.8527 11.1880
O 2.0062 5.8638 4.0784
O -3.5536 5.8274 14.0041
O 0.5098 5.8890 6.8944
O 3.7642 5.1711 2.0932
O -0.2992 6.5453 9.2029
O 0.0543 4.1264 8.6671
O 4.1177 7.5901 1.5575
O -0.6124 0.2172 11.3705
O 3.4510 3.6883 4.2608
O 0.4975 1.8290 9.8247
O 4.5609 2.0764 2.7151
O 3.6063 1.2850 4.9436
O -0.4571 2.6205 12.0533
O 6.1388 1.3050 0.7348
O 2.0754 2.6005 7.8445
O 2.0516 5.6334 8.8720
O 6.1150 6.0830 1.7624
O 0.5763 5.7180 11.5593
O 4.6397 5.9985 4.4496
O 2.7200 0.1910 8.0293
O 6.7835 3.7145 0.9197
O -0.3790 5.8418 13.8957
O 3.6844 5.8746 6.7860
```

* crystal system: monoclinic
* raw total energy: -7.083 eV/atom
* formation energy without anion corrections: -2.485 eV/atom
* volume: 904.3 Å³/cell
* N(E_F): 0.00 states/eV/atom
* mass density: 2.80 Mg/m³

No. 11
Computed, not measured: crystalline KRbPS2 at its relaxed geometry at the PBEsol level of DFT.

```
5
Lattice="5.9097 0.0000 0.0000 0.0000 5.9097 0.0000 0.0000 0.0000 6.1465" Properties=species:S:1:pos:R:3 pbc="T T T"
K 0.0000 0.0000 0.0000
Rb 2.9549 2.9549 3.0732
P 2.9549 2.9549 0.0000
S 0.0000 2.9549 3.0732
S 2.9549 0.0000 3.0732
```

* crystal system: tetragonal
* raw total energy: -2.566 eV/atom
* formation energy without anion corrections: 0.777 eV/atom
* volume: 214.7 Å³/cell
* N(E_F): 1.00 states/eV/atom
* mass density: 1.70 Mg/m³

No. 12
Computed, not measured: crystalline Cd3PCl3 at its relaxed geometry at the PBEsol level of DFT.

```
14
Lattice="7.6190 0.0000 0.0000 -3.8095 6.5982 0.0000 0.0000 0.0000 7.0672" Properties=species:S:1:pos:R:3 pbc="T T T"
Cd 0.0000 0.0000 0.0000
Cd -1.9047 3.2991 3.5336
Cd 0.0000 4.3988 0.0419
Cd 3.8095 0.0000 3.5336
Cd 1.9047 3.2991 3.5336
Cd 3.8095 2.1994 7.0252
P 0.0000 4.3988 2.4858
P 3.8095 2.1994 4.5814
Cl 0.0000 2.2411 5.6729
Cl -1.8686 5.4777 5.6729
Cl 1.9409 1.1206 1.3943
Cl 1.8686 5.4777 5.6729
Cl 5.6781 1.1206 1.3943
Cl 3.8095 4.3571 1.3943
```

* crystal system: trigonal
* raw total energy: -2.899 eV/atom
* formation energy without anion corrections: -0.698 eV/atom
* volume: 355.3 Å³/cell
* N(E_F): 0.00 states/eV/atom
* mass density: 4.44 Mg/m³

No. 13
Computed, not measured: crystalline AcNiO3 at its relaxed geometry at the PBEsol level of DFT.

```
5
Lattice="3.8499 0.0000 0.0000 0.0000 3.8499 0.0000 0.0000 0.0000 3.8499" Properties=species:S:1:pos:R:3 pbc="T T T"
Ac 0.0000 0.0000 0.0000
Ni 1.9249 1.9249 1.9249
O 0.0000 1.9249 1.9249
O 1.9249 0.0000 1.9249
O 1.9249 1.9249 0.0000
```

* crystal system: cubic
* raw total energy: -7.496 eV/atom
* formation energy without anion corrections: -2.214 eV/atom
* volume: 57.1 Å³/cell
* N(E_F): 0.63 states/eV/atom
* mass density: 9.71 Mg/m³

No. 14
Computed, not measured: crystalline ZnFe2Co at its relaxed geometry at the PBEsol level of DFT.

```
4
Lattice="2.8672 0.0000 0.0000 0.0000 2.8672 0.0000 0.0000 0.0000 5.5108" Properties=species:S:1:pos:R:3 pbc="T T T"
Zn 0.0000 0.0000 0.0000
Fe 0.0000 0.0000 2.7139
Fe 1.4336 1.4336 4.0466
Co 1.4336 1.4336 1.4297
```

* crystal system: tetragonal
* raw total energy: -6.774 eV/atom
* formation energy from the elements: 37.5 meV/atom
* volume: 45.3 Å³/cell
* N(E_F): 1.03 states/eV/atom
* mass density: 8.65 Mg/m³

No. 15
Computed, not measured: crystalline SiIO2 at its relaxed geometry at the PBEsol level of DFT.

```
8
Lattice="0.0000 3.8439 3.8439 3.8439 0.0000 3.8439 3.8439 3.8439 0.0000" Properties=species:S:1:pos:R:3 pbc="T T T"
Si 0.9610 0.9610 0.9610
Si 6.7268 6.7268 6.7268
I 2.8829 2.8829 2.8829
I 4.8048 4.8048 4.8048
O 0.0000 0.0000 0.0000
O 1.9219 1.9219 0.0000
O 1.9219 0.0000 1.9219
O 0.0000 1.9219 1.9219
```

* crystal system: cubic
* raw total energy: -6.169 eV/atom
* formation energy without anion corrections: -1.666 eV/atom
* volume: 113.6 Å³/cell
* N(E_F): 0.08 states/eV/atom
* mass density: 5.47 Mg/m³

No. 16
Computed, not measured: crystalline ScTaTe at its relaxed geometry at the PBEsol level of DFT.

```
3
Lattice="3.4213 0.0000 0.0000 -1.7107 2.9630 0.0000 0.0000 0.0000 6.4283" Properties=species:S:1:pos:R:3 pbc="T T T"
Sc 0.0000 0.0000 0.0000
Ta 0.0000 1.9753 4.2544
Te 1.7107 0.9877 2.3051
```

* crystal system: trigonal
* raw total energy: -7.744 eV/atom
* formation energy without anion corrections: -0.183 eV/atom
* volume: 65.2 Å³/cell
* N(E_F): 0.28 states/eV/atom
* mass density: 9.01 Mg/m³

No. 17
Computed, not measured: crystalline Sr8Al7 at its relaxed geometry at the PBEsol level of DFT.

```
60
Lattice="12.6076 0.0000 0.0000 0.0000 12.6076 0.0000 0.0000 0.0000 12.6076" Properties=species:S:1:pos:R:3 pbc="T T T"
Sr 0.0728 2.4787 11.8573
Sr 0.2839 2.5750 5.5013
Sr 0.7502 6.3765 3.8251
Sr 0.8025 12.3237 8.8788
Sr 2.3299 10.2777 3.9739
Sr 2.3546 8.6584 10.2529
Sr 2.4787 11.8573 0.0728
Sr 2.5750 5.5013 0.2839
Sr 3.7288 7.1063 6.5877
Sr 3.8251 0.7502 6.3765
Sr 3.9492 3.9492 3.9492
Sr 3.9739 2.3299 10.2777
Sr 5.5013 0.2839 2.5750
Sr 5.5535 6.2310 10.1289
Sr 6.0199 10.0326 11.8050
Sr 6.2310 10.1289 5.5535
Sr 6.3765 3.8251 0.7502
Sr 6.5877 3.7288 7.1063
Sr 7.0540 12.5348 8.7825
Sr 7.1063 6.5877 3.7288
Sr 8.6337 8.6337 8.6337
Sr 8.6584 10.2529 2.3546
Sr 8.7825 7.0540 12.5348
Sr 8.8788 0.8025 12.3237
Sr 10.0326 11.8050 6.0199
Sr 10.1289 5.5535 6.2310
Sr 10.2529 2.3546 8.6584
Sr 10.2777 3.9739 2.3299
Sr 11.8050 6.0199 10.0326
Sr 11.8573 0.0728 2.4787
Sr 12.3237 8.8788 0.8025
Sr 12.5348 8.7825 7.0540
Al 0.8672 5.4366 7.1709
Al 0.9611 3.1841 8.7096
Al 1.0125 3.1865 2.3329
Al 2.3329 1.0125 3.1865
Al 2.4059 5.3427 9.4235
Al 3.1197 3.8979 7.2649
Al 3.1173 10.2747 7.3163
Al 3.1865 2.3329 1.0125
Al 3.1841 8.7096 0.9611
Al 3.8979 7.2649 3.1197
Al 3.9709 11.5951 9.4903
Al 5.2913 9.4211 8.6367
Al 5.3427 9.4235 2.4059
Al 5.4366 7.1709 0.8672
Al 7.1709 0.8672 5.4366
Al 7.2649 3.1197 3.8979
Al 7.3163 3.1173 10.2747
Al 8.6367 5.2913 9.4211
Al 8.7096 0.9611 3.1841
Al 9.4235 2.4059 5.3427
Al 9.4211 8.6367 5.2913
Al 9.4903 3.9709 11.5951
Al 9.4879 10.2017 11.6465
Al 10.2017 11.6465 9.4879
Al 10.2747 7.3163 3.1173
Al 11.5951 9.4903 3.9709
Al 11.6465 9.4879 10.2017
Al 11.7404 11.7404 11.7404
```

* crystal system: cubic
* raw total energy: -3.062 eV/atom
* formation energy from the elements: -170.8 meV/atom
* volume: 2004.0 Å³/cell
* N(E_F): 0.82 states/eV/atom
* mass density: 2.95 Mg/m³

No. 18
Computed, not measured: crystalline MnMoRh2 at its relaxed geometry at the PBEsol level of DFT.

```
4
Lattice="3.7582 0.0000 0.0000 0.0000 3.7582 0.0000 0.0000 0.0000 3.7515" Properties=species:S:1:pos:R:3 pbc="T T T"
Mn 0.0000 0.0000 0.0000
Mo 1.8791 1.8791 0.0000
Rh 0.0000 1.8791 1.8758
Rh 1.8791 0.0000 1.8758
```

* crystal system: tetragonal
* raw total energy: -9.599 eV/atom
* formation energy from the elements: -147.6 meV/atom
* volume: 53.0 Å³/cell
* N(E_F): 0.61 states/eV/atom
* mass density: 11.18 Mg/m³

No. 19
Computed, not measured: crystalline MoOs at its relaxed geometry at the PBEsol level of DFT.

```
4
Lattice="2.7238 0.0000 0.0000 0.0000 2.7238 0.0000 0.0000 0.0000 7.9587" Properties=species:S:1:pos:R:3 pbc="T T T"
Mo 0.6810 0.6810 1.0791
Mo 2.0429 2.0429 6.8796
Os 0.6810 0.6810 4.9116
Os 2.0429 2.0429 3.0472
```

* crystal system: tetragonal
* raw total energy: -11.820 eV/atom
* formation energy from the elements: 171.9 meV/atom
* volume: 59.0 Å³/cell
* N(E_F): 0.87 states/eV/atom
* mass density: 16.10 Mg/m³

No. 20
Computed, not measured: crystalline BaZr2Pt at its relaxed geometry at the PBEsol level of DFT.

```
4
Lattice="0.0000 3.5871 3.5871 3.5871 0.0000 3.5871 3.5871 3.5871 0.0000" Properties=species:S:1:pos:R:3 pbc="T T T"
Ba 0.0000 0.0000 0.0000
Zr 1.7935 1.7935 1.7935
Zr 3.5871 3.5871 3.5871
Pt 5.3806 5.3806 5.3806
```

* crystal system: cubic
* raw total energy: -6.517 eV/atom
* formation energy from the elements: 306.0 meV/atom
* volume: 92.3 Å³/cell
* N(E_F): 1.27 states/eV/atom
* mass density: 9.26 Mg/m³